[1]
Crystalline Ta2AlIn at its relaxed geometry. Source: the Alexandria database, functional PBE.

## Properties
Mass density (g/cm3): 11.4
ΔE_f (eV/atom): 0.04
Space group: I4/mmm, No. 139

Lattice parameters (Å, degrees): 5.2575 5.2575 5.2575 134.38 134.38 66.50
Last column: nearest neighbours and their distance in Å.
Positions (direct):
Ta (0.5000, 0.5000, 0.0000)  4 Ta 2.88, 4 In 3.00, 4 Al 3.00
Ta (0.0000, 0.0000, 0.0000)  4 Ta 2.88, 4 Al 3.00, 4 In 3.00
In (0.7500, 0.2500, 0.5000)  4 Al 2.88, 8 Ta 3.00
Al (0.2500, 0.7500, 0.5000)  4 In 2.88, 8 Ta 3.00

[2]
Crystalline TaAlIn at its relaxed geometry. Source: the Alexandria database, functional PBE.

## Properties
Mass density (g/cm3): 9.6
ΔE_f (eV/atom): 0.21
Offset from the most stable computed form (eV/f.u.): 0.26
Space group: P-6m2, No. 187

Lattice parameters (Å, degrees): 4.7605 4.7605 2.8365 90.00 90.00 120.00
Last column: nearest neighbours and their distance in Å.
Positions (direct):
Al (0.0000, 0.0000, 0.1663)  3 In 2.75, 2 Al 2.84
Ta (0.6667, 0.3333, 0.6664)  2 Ta 2.84, 6 In 3.09, 6 Al 3.09
In (0.3333, 0.6667, 0.1672)  3 Al 2.75, 2 In 2.84

- Among the records above, which one has the lowest mass density?
  TaAlIn